The following is a PBE calculation of crystalline TcPbO4F at its relaxed geometry, from Alexandria via LeMat-Bulk.

Values from the calculation:
E = -93.94 eV for the cell shown
total magnetization = 0.000 μB per atom
uncorrected formation energy = -1.60 eV/atom

a = 6.484 Å, b = 6.484 Å, c = 7.501 Å
α = 102.80°, β = 102.80°, γ = 75.71°
Fractional coordinates of all 14 atoms:
1 Tc 0.154 0.154 0.281
2 Tc 0.846 0.846 0.719
3 Pb 0.313 0.313 0.879
4 Pb 0.687 0.687 0.121
5 O 0.010 0.365 0.162
6 O 0.016 0.016 0.722
7 O 0.254 0.254 0.510
8 O 0.365 0.010 0.162
9 O 0.635 0.990 0.838
10 O 0.746 0.746 0.490
11 O 0.984 0.984 0.278
12 O 0.990 0.635 0.838
13 F 0.477 0.477 0.169
14 F 0.523 0.523 0.831


The following is a PBE calculation of crystalline TiPbOF2 at its relaxed geometry, from Alexandria via LeMat-Bulk.

Values from the calculation:
E = -25.02 eV for the cell shown
total magnetization = 0.487 μB per atom
uncorrected formation energy = -0.94 eV/atom

a = 4.618 Å, b = 4.618 Å, c = 4.519 Å
α = 90.00°, β = 90.00°, γ = 90.00°
Fractional coordinates of all 5 atoms:
1 Ti 0.000 0.000 0.000
2 Pb 0.500 0.500 0.500
3 O 0.500 0.500 0.000
4 F 0.000 0.500 0.500
5 F 0.500 0.000 0.500


The following is a PBE calculation of crystalline Ti3Pb2O8F at its relaxed geometry, from Alexandria via LeMat-Bulk.

Values from the calculation:
E = -103.75 eV for the cell shown
total magnetization = 0.069 μB per atom
uncorrected formation energy = -2.22 eV/atom

a = 7.538 Å, b = 7.538 Å, c = 7.538 Å
α = 47.42°, β = 47.42°, γ = 47.42°
Fractional coordinates of all 14 atoms:
1 Ti 0.007 0.496 0.496
2 Ti 0.496 0.007 0.496
3 Ti 0.496 0.496 0.007
4 Pb 0.516 0.516 0.516
5 Pb 0.877 0.877 0.877
6 O 0.226 0.226 0.677
7 O 0.226 0.677 0.226
8 O 0.277 0.277 0.277
9 O 0.302 0.753 0.753
10 O 0.677 0.226 0.226
11 O 0.710 0.710 0.710
12 O 0.753 0.302 0.753
13 O 0.753 0.753 0.302
14 F 0.175 0.175 0.175


The following is a PBE calculation of crystalline TlPbO2F at its relaxed geometry, from Alexandria via LeMat-Bulk.

Values from the calculation:
E = -22.96 eV for the cell shown
total magnetization = 0.000 μB per atom
uncorrected formation energy = -1.02 eV/atom

a = 4.329 Å, b = 4.329 Å, c = 4.631 Å
α = 90.00°, β = 90.00°, γ = 90.00°
Fractional coordinates of all 5 atoms:
1 Tl 0.000 0.000 0.000
2 Pb 0.500 0.500 0.500
3 O 0.000 0.500 0.500
4 O 0.500 0.000 0.500
5 F 0.500 0.500 0.000


The following is a PBE calculation of crystalline TlPbOF at its relaxed geometry, from Alexandria via LeMat-Bulk.

Values from the calculation:
E = -18.10 eV for the cell shown
total magnetization = 0.000 μB per atom
uncorrected formation energy = -1.30 eV/atom

a = 3.688 Å, b = 3.688 Å, c = 7.039 Å
α = 90.17°, β = 90.17°, γ = 59.67°
Fractional coordinates of all 4 atoms:
1 Tl 0.000 0.000 0.000
2 Pb 0.672 0.672 0.528
3 O 0.340 0.340 0.688
4 F 0.334 0.334 0.232


The following is a PBE calculation of crystalline TlPbO2F at its relaxed geometry, from Alexandria via LeMat-Bulk.

Values from the calculation:
E = -22.41 eV for the cell shown
total magnetization = 0.000 μB per atom
uncorrected formation energy = -0.91 eV/atom

a = 4.355 Å, b = 4.355 Å, c = 4.360 Å
α = 90.00°, β = 90.00°, γ = 90.00°
Fractional coordinates of all 5 atoms:
1 Tl 0.000 0.000 0.000
2 Pb 0.500 0.500 0.500
3 O 0.000 0.500 0.000
4 O 0.500 0.000 0.000
5 F 0.000 0.000 0.500